The following is a DFT calculation (PBE) of an optimized crystal structure of AgF2.

- Magnetization: 0.00 Bohr magnetons per cell
- Fermi-level density of states: 0.441 states/eV/atom
- Raw formation energy: -1.1503 eV per atom
- Space group: P2_1/c (14)

Cell: 5.1740 3.7096 5.9648 Å, 56.75 90.00 90.00°
Positions (direct):
F1 0.7072 0.2326 0.7044
F2 0.2072 0.7674 0.7956
F3 0.7928 0.2326 0.2044
F4 0.2928 0.7674 0.2956
Ag1 0.0000 0.0000 0.0000
Ag2 0.5000 0.0000 0.5000